# BeZnSe2 | Alexandria | PBE | relaxed
data_BeZnSe2
_symmetry_space_group_name_H-M 'I 4/m c m'
_symmetry_Int_Tables_number 140
_symmetry_space_group_name_Hall '-I 4 2c'
_cell_length_a 6.9149
_cell_length_b 6.9149
_cell_length_c 5.9364
_cell_angle_alpha 90.00
_cell_angle_beta 90.00
_cell_angle_gamma 90.00
loop_
_atom_site_label
_atom_site_type_symbol
_atom_site_fract_x
_atom_site_fract_y
_atom_site_fract_z
Be1 Be 0.0000 0.5000 0.2500
Zn1 Zn 0.0000 0.0000 0.2500
Se1 Se 0.1731 0.3269 0.0000
# relative energy among the computed polymorphs: 0.519 eV/atom
# volume: 17.74 Å³/atom
# total energy: -3.2192 eV per atom
# formation energy without anion corrections: -0.227 eV/atom